# 1
Material: LiTc2Se
Method: DFT, PBE
State: optimized geometry

Magnetic moment, μB/f.u.: 0.0
Energy relative to the elements, uncorrected, eV/atom: 0.42
Space-group type: Cmmm (65)

abc: 4.6214 4.6214 3.0143
angles: 90.00 90.00 114.25
Positions (direct):
Tc 0.0000 0.0000 0.0000
Tc 0.5000 0.5000 0.0000
Se 0.0000 0.5000 0.5000
Li 0.5000 0.0000 0.5000

=====

# 2
Material: KNpCu2Te4
Method: DFT, PBE
State: optimized geometry

Magnetic moment, μB/f.u.: 4.0
Energy relative to the elements, uncorrected, eV/atom: -0.23
Space-group type: I222 (23)

abc: 6.4359 6.7275 6.7275
angles: 73.86 61.42 61.42
Site moments in Bohr magnetons follow the coordinates.
Positions (direct):
Te 0.9992 0.5002 0.9997  -0.04
Te 0.5009 0.9997 0.5002  -0.04
Te 0.4991 0.4998 0.0003  -0.04
Te 0.0008 0.0003 0.4998  -0.04
Cu 0.1465 0.3535 0.3535  -0.01
Cu 0.8535 0.6465 0.6465  -0.01
K 0.0000 0.0000 0.0000  0.00
Np 0.5000 0.5000 0.5000  4.00

=====

# 3
Material: TaTcPt
Method: DFT, PBE
State: optimized geometry

Excess energy over the best structure of this formula in the dataset, eV/atom: 0.0446
Magnetic moment, μB/f.u.: 0.0
Space-group type: P3m1 (156)

abc: 4.5455 4.5455 2.7147
angles: 90.00 90.00 120.00
Positions (direct):
Ta 0.6667 0.3333 0.2505
Tc 0.3333 0.6667 0.6341
Pt 0.0000 0.0000 0.1154

=====

# 4
Material: KAg2Ir
Method: DFT, PBE
State: optimized geometry

Excess energy over the best structure of this formula in the dataset, eV/atom: 0.3082
Magnetic moment, μB/f.u.: 0.0
Space-group type: I-4m2 (119)

abc: 5.4639 5.4639 5.4639
angles: 134.97 134.97 65.57
Positions (direct):
Ir 0.5000 0.5000 0.0000
Ag 0.2500 0.7500 0.5000
Ag 0.0000 0.0000 0.0000
K 0.7500 0.2500 0.5000

=====

# 5
Material: Ac2La3Pt4
Method: DFT, PBE
State: optimized geometry

Magnetic moment, μB/f.u.: 0.0
Space-group type: C2/m (12)
Raw total energy, eV per atom: -6.302

abc: 4.3180 11.3165 14.2102
angles: 24.38 81.26 79.00
Positions (direct):
Pt 0.4049 0.2837 0.9065
Pt 0.5951 0.7163 0.0935
Pt 0.2037 0.8905 0.7021
Pt 0.7963 0.1095 0.2979
Ac 0.6060 0.1837 0.6042
Ac 0.3940 0.8163 0.3958
La 0.0000 0.0000 0.0000
La 0.1968 0.4114 0.1949
La 0.8032 0.5886 0.8051

=====

# 6
Material: PmDy3Tm5
Method: DFT, PBE
State: optimized geometry

Excess energy over the best structure of this formula in the dataset, eV/atom: 0.3536
Magnetic moment, μB/f.u.: 0.0
Space-group type: C2/m (12)

abc: 9.2213 9.2213 12.7303
angles: 51.44 51.44 50.70
Positions (direct):
Tm 0.5107 0.9218 0.2188
Tm 0.3215 0.6785 0.0000
Tm 0.3708 0.3708 0.9278
Tm 0.4893 0.0782 0.7812
Tm 0.6292 0.6292 0.0722
Tm 0.9218 0.5107 0.2188
Tm 0.4432 0.4432 0.4350
Tm 0.0782 0.4893 0.7812
Tm 0.5568 0.5568 0.5650
Tm 0.6785 0.3215 0.0000
Dy 0.0000 0.0000 0.0000
Dy 0.8326 0.8326 0.3413
Dy 0.3068 0.3068 0.3133
Dy 0.1674 0.1674 0.6587
Dy 0.0000 0.0000 0.5000
Dy 0.6932 0.6932 0.6867
Pm 0.8930 0.8930 0.8708
Pm 0.1070 0.1070 0.1292

=====

# 7
Material: Ca2TbPmSe4
Method: DFT, PBE
State: optimized geometry

Magnetic moment, μB/f.u.: 0.0
Energy relative to the elements, uncorrected, eV/atom: -1.89
Space-group type: P2/m (10)

abc: 4.1417 7.1735 7.3098
angles: 109.10 90.00 90.00
Positions (direct):
Se 0.0000 0.2447 0.7477
Se 0.5000 0.2456 0.2490
Se 0.5000 0.7544 0.7510
Se 0.0000 0.7553 0.2523
Ca 0.0000 0.5000 0.5000
Ca 0.5000 0.0000 0.5000
Tb 0.0000 0.0000 0.0000
Pm 0.5000 0.5000 0.0000

=====

# 8
Material: K2Eu
Method: DFT, PBE
State: optimized geometry

Excess energy over the best structure of this formula in the dataset, eV/atom: 0.0708
Magnetic moment, μB/f.u.: 7.7
Space-group type: Fd-3m (227)

abc: 8.0446 8.0446 8.0446
angles: 60.00 60.00 60.00
Site moments in Bohr magnetons follow the coordinates.
Positions (direct):
Eu 0.0000 0.0000 0.0000  7.05
Eu 0.2500 0.2500 0.2500  7.05
K 0.6250 0.1250 0.6250  0.01
K 0.6250 0.6250 0.1250  0.01
K 0.1250 0.6250 0.6250  0.01
K 0.6250 0.6250 0.6250  0.01

=====

# 9
Material: GdHo2O
Method: DFT, PBE
State: optimized geometry

Excess energy over the best structure of this formula in the dataset, eV/atom: 0.0000
Magnetic moment, μB/f.u.: 7.7
Energy relative to the elements, uncorrected, eV/atom: -1.36
Space-group type: R-3m (166)

abc: 3.5044 3.5044 8.9491
angles: 78.71 78.71 60.00
Site moments in Bohr magnetons follow the coordinates.
Positions (direct):
Ho 0.2816 0.2816 0.1553  0.00
Ho 0.7184 0.7184 0.8447  0.00
Gd 0.5000 0.5000 0.5000  -7.34
O 0.0000 0.0000 0.0000  -0.01

=====

# 10
Material: ZnGa5Tc
Method: DFT, PBE
State: optimized geometry

Magnetic moment, μB/f.u.: 0.0
Space-group type: Imm2 (44)
Raw total energy, eV per atom: -3.461

abc: 6.9942 5.3532 6.5133
angles: 114.26 122.47 90.00
Positions (direct):
Ga 0.1572 0.2520 0.5040
Ga 0.2028 0.7541 0.0000
Ga 0.6532 0.7480 0.4960
Ga 0.2028 0.2459 0.0000
Ga 0.5233 0.5000 0.0000
Tc 0.9150 0.0000 0.0000
Zn 0.8763 0.5000 0.0000

=====

# 11
Material: TbCeAlSn
Method: DFT, PBE
State: optimized geometry

Magnetic moment, μB/f.u.: 1.0
Space-group type: F-43m (216)
Raw total energy, eV per atom: -4.989

abc: 5.2991 5.2991 5.2991
angles: 60.00 60.00 60.00
Site moments in Bohr magnetons follow the coordinates.
Positions (direct):
Al 0.2500 0.2500 0.2500  0.00
Tb 0.0000 0.0000 0.0000  0.10
Sn 0.7500 0.7500 0.7500  0.00
Ce 0.5000 0.5000 0.5000  0.75

=====

# 12
Material: Pr8CuPt2
Method: DFT, PBE
State: optimized geometry

Magnetic moment, μB/f.u.: 0.0
Space-group type: Cm (8)
Raw total energy, eV per atom: -5.262

abc: 6.4385 7.7642 7.7642
angles: 111.21 100.30 100.30
Positions (direct):
Pr 0.1776 0.3642 0.3642
Pr 0.7946 0.6495 0.6495
Pr 0.5998 0.3452 0.0800
Pr 0.3497 0.9242 0.6544
Pr 0.9776 0.7868 0.2078
Pr 0.5998 0.0800 0.3452
Pr 0.9776 0.2078 0.7868
Pr 0.3497 0.6544 0.9242
Pt 0.4896 0.6866 0.3216
Pt 0.4896 0.3216 0.6866
Cu 0.1941 0.0136 0.0136

=====

Which value of magnetic moment does entry 12 give?
0.0 μB/f.u.